(1)
# Ti2ReW4 | Alexandria via LeMat-Bulk | GGA-PBE | optimized geometry
# Calculated total energy (eV/atom): -11.36
# Spin magnetization (μB/cell): 0.0
# Energy of formation from the pure elements (kJ/mol of formula units): 54
data_Ti2ReW4
_chemical_formula_sum 'Ti2 Re1 W4'
_symmetry_space_group_name_H-M 'P -1'
_symmetry_Int_Tables_number 2
_symmetry_space_group_name_Hall '-P 1'
_cell_length_a 2.708
_cell_length_b 6.907
_cell_length_c 7.042
_cell_angle_alpha 118.32
_cell_angle_beta 94.27
_cell_angle_gamma 98.01
loop_
_atom_site_label
_atom_site_type_symbol
_atom_site_fract_x
_atom_site_fract_y
_atom_site_fract_z
Ti1 Ti 0.074 0.082 0.358
Re1 Re 0.500 0.500 0.500
W1 W 0.242 0.643 0.215
W2 W 0.447 0.211 0.063

=====

(2)
# Na3Er2PaSe6 | Alexandria via LeMat-Bulk | GGA-PBE | optimized geometry
# Energy relative to the elements, uncorrected (eV/f.u.): -18.3
# Calculated total energy (eV/atom): -5.15
# Spin magnetization (μB/cell): 3.6
data_Na3Er2PaSe6
_chemical_formula_sum 'Na6 Er4 Pa2 Se12'
_symmetry_space_group_name_H-M 'C 1 2/m 1'
_symmetry_Int_Tables_number 12
_symmetry_space_group_name_Hall '-C 2y'
_cell_length_a 7.123
_cell_length_b 12.336
_cell_length_c 7.440
_cell_angle_alpha 90.00
_cell_angle_beta 108.61
_cell_angle_gamma 90.00
loop_
_atom_site_label
_atom_site_type_symbol
_atom_site_fract_x
_atom_site_fract_y
_atom_site_fract_z
Na1 Na 0.000 0.000 0.000
Na2 Na 0.000 0.333 0.000
Er1 Er 0.000 0.167 0.500
Pa1 Pa 0.000 0.500 0.500
Se1 Se 0.242 0.000 0.732
Se2 Se 0.245 0.332 0.732

=====

(3)
# Pr2NdDy2Ho | Alexandria via LeMat-Bulk | GGA-PBE | optimized geometry
# Calculated total energy (eV/atom): -4.62
# Spin magnetization (μB/cell): 0.0
# Energy of formation from the pure elements (kJ/mol of formula units): 36
data_Pr2NdDy2Ho
_chemical_formula_sum 'Pr4 Nd2 Dy4 Ho2'
_symmetry_space_group_name_H-M 'P m m a'
_symmetry_Int_Tables_number 51
_symmetry_space_group_name_Hall '-P 2a 2a'
_cell_length_a 7.094
_cell_length_b 5.715
_cell_length_c 9.899
_cell_angle_alpha 90.00
_cell_angle_beta 90.00
_cell_angle_gamma 90.00
loop_
_atom_site_label
_atom_site_type_symbol
_atom_site_fract_x
_atom_site_fract_y
_atom_site_fract_z
Pr1 Pr 0.000 0.000 0.000
Pr2 Pr 0.250 0.500 0.176
Nd1 Nd 0.250 0.000 0.658
Dy1 Dy 0.250 0.000 0.331
Dy2 Dy 0.250 0.500 0.835
Ho1 Ho 0.000 0.500 0.500

=====

(4)
# AlCuGe | Alexandria via LeMat-Bulk | GGA-PBE | optimized geometry
# Calculated total energy (eV/atom): -4.01
# Spin magnetization (μB/cell): 0.0
# Energy of formation from the pure elements (kJ/mol of formula units): 41
data_AlCuGe
_chemical_formula_sum 'Al1 Cu1 Ge1'
_symmetry_space_group_name_H-M 'P 3 m 1'
_symmetry_Int_Tables_number 156
_symmetry_space_group_name_Hall 'P 3 -2"'
_cell_length_a 4.2037
_cell_length_b 4.2037
_cell_length_c 3.1835
_cell_angle_alpha 90.00
_cell_angle_beta 90.00
_cell_angle_gamma 120.00
loop_
_atom_site_label
_atom_site_type_symbol
_atom_site_fract_x
_atom_site_fract_y
_atom_site_fract_z
Al1 Al 0.0000 0.0000 0.0000
Cu1 Cu 0.3333 0.6667 0.6623
Ge1 Ge 0.6667 0.3333 0.5196